1.
First-principles (PBE) data for a relaxed structure of PmDyPuAl, as listed in Alexandria.

## Properties
Raw total energy (eV/atom): -6.776
Formation enthalpy at 0 K (eV/atom): 0.081
Space group: F-43m (216)
Magnetic moment (μB/f.u.): 6.47

Cell lengths 5.3449, 5.3449, 5.3449 Å; angles 60.00, 60.00, 60.00 degrees
Positions (direct):
Pu  0.0000  0.0000  0.0000
Al  0.2500  0.2500  0.2500
Dy  0.5000  0.5000  0.5000
Pm  0.7500  0.7500  0.7500

***

2.
First-principles (PBE) data for a relaxed structure of PmDyAlRh, as listed in Alexandria.

## Properties
Raw total energy (eV/atom): -5.602
Formation enthalpy at 0 K (eV/atom): -0.491
Space group: F-43m (216)
Magnetic moment (μB/f.u.): 0.00

Cell lengths 5.0570, 5.0570, 5.0570 Å; angles 60.00, 60.00, 60.00 degrees
Positions (direct):
Pm  0.0000  0.0000  0.0000
Dy  0.5000  0.5000  0.5000
Rh  0.2500  0.2500  0.2500
Al  0.7500  0.7500  0.7500

***

3.
First-principles (PBE) data for a relaxed structure of PmDy2AlS6, as listed in Alexandria.

## Properties
Raw total energy (eV/atom): -5.975
Formation energy from raw total energies (kJ per mole of atoms): -166.8
Space group: R3 (146)
Magnetic moment (μB/f.u.): 0.00

Cell lengths 6.7776, 6.7772, 7.1642 Å; angles 61.76, 61.76, 59.99 degrees
Positions (direct):
S  0.4129  0.6910  0.7689
S  0.2179  0.9565  0.2442
S  0.1271  0.4129  0.7690
S  0.9566  0.5813  0.2443
S  0.5813  0.2180  0.2442
S  0.6909  0.1271  0.7691
Dy  0.5233  0.5233  0.4302
Dy  0.0175  0.0175  0.9475
Pm  0.8129  0.8129  0.5613
Al  0.3212  0.3212  0.0365

***

4.
First-principles (PBE) data for a relaxed structure of PmDyAlSi, as listed in Alexandria.

## Properties
E above lowest polymorph (eV/f.u.): 1.10
Raw total energy (eV/atom): -4.986
Formation energy from raw total energies (kJ per mole of atoms): -34.3
Space group: F-43m (216)
Magnetic moment (μB/f.u.): 0.00

Cell lengths 5.1082, 5.1082, 5.1082 Å; angles 60.00, 60.00, 60.00 degrees
Positions (direct):
Pm  0.0000  0.0000  0.0000
Dy  0.5000  0.5000  0.5000
Al  0.2500  0.2500  0.2500
Si  0.7500  0.7500  0.7500

***

5.
First-principles (PBE) data for a relaxed structure of PmDyAlSi, as listed in Alexandria.

## Properties
E above lowest polymorph (eV/f.u.): 0.00
Raw total energy (eV/atom): -5.259
Formation energy from raw total energies (kJ per mole of atoms): -60.8
Space group: Amm2 (38)
Magnetic moment (μB/f.u.): 0.00

Cell lengths 4.3884, 4.0236, 5.9381 Å; angles 90.00, 111.69, 90.00 degrees
Positions (direct):
Dy  0.1390  0.0000  0.2780
Pm  0.8557  0.5000  0.7115
Si  0.5741  0.5000  0.1482
Al  0.4311  0.0000  0.8623

***

6.
First-principles (PBE) data for a relaxed structure of TbPmDyAl, as listed in Alexandria.

## Properties
E above lowest polymorph (eV/f.u.): 0.00
Raw total energy (eV/atom): -4.621
Formation enthalpy at 0 K (eV/atom): -0.190
Space group: P4mm (99)
Magnetic moment (μB/f.u.): 0.00

Cell lengths 3.5350, 3.5350, 9.1069 Å; angles 90.00, 90.00, 90.00 degrees
Positions (direct):
Dy  0.5000  0.5000  0.3606
Pm  0.0000  0.0000  0.0723
Tb  0.5000  0.5000  0.7817
Al  0.0000  0.0000  0.5701